LaLu2Bi (PBE-GGA, optimized geometry); ΔH_f (0 K) = 0.054 eV/atom
1.0
3.545 0.000 0.000
1.773 3.070 0.000
1.773 1.023 11.970
Lu La Bi
2 1 1
Cartesian
1.773 1.023 8.849 Lu
5.318 3.070 3.121 Lu
3.545 2.047 5.985 La
0.000 0.000 0.000 Bi

---

KBeBiSe3 (PBE-GGA, optimized geometry); formation energy (no corrections) = -758 meV/atom
1.0
-1.228 -3.848 -0.266
8.298 -2.342 -4.413
1.590 -1.144 9.199
Be K Bi Se
2 2 2 6
Cartesian
7.392 -5.513 -0.564 Be
1.269 -1.821 5.084 Be
1.545 -1.640 1.190 K
7.116 -5.694 3.329 K
5.393 -2.671 -1.645 Bi
3.267 -4.662 6.164 Bi
7.415 -3.479 0.705 Se
2.038 -2.210 7.152 Se
2.963 -4.095 -0.630 Se
1.246 -3.855 3.815 Se
6.622 -5.124 -2.633 Se
5.697 -3.238 5.149 Se

---

Sr2BeGaAu6 (PBE-GGA, optimized geometry); ΔH_f (0 K) = -0.525 eV/atom
1.0
-3.071 5.773 -0.774
-5.810 -3.378 -2.085
-6.279 0.829 3.025
Au Be Sr Ga
6 1 2 1
Cartesian
-6.961 1.485 -1.926 Au
-9.581 4.348 1.733 Au
-5.579 -1.124 -1.566 Au
-9.383 2.438 -0.581 Au
-8.199 1.739 2.093 Au
-5.777 0.785 0.747 Au
0.000 0.000 0.000 Be
-6.428 4.124 0.263 Sr
-8.732 -0.901 -0.096 Sr
-4.441 1.197 -1.429 Ga

---

CsIn4Ge2 (PBE-GGA, optimized geometry); ΔH_f (0 K) = -0.018 eV/atom
1.0
-5.107 0.319 0.142
-0.319 -5.245 0.314
0.415 3.093 7.964
In Ge Cs
4 2 1
Cartesian
-2.553 -2.170 5.295 In
0.155 0.286 4.937 In
-0.059 -2.438 3.341 In
-2.457 0.336 3.126 In
-2.356 0.522 6.340 Ge
-2.654 -2.356 2.080 Ge
0.000 0.000 0.000 Cs

---

Y12P6Pb (PBE-GGA, optimized geometry); ΔH_f (0 K) = -0.837 eV/atom
1.0
8.625 0.000 0.000
-2.875 8.132 0.000
-2.875 -4.066 7.043
Y P Pb
12 6 1
Cartesian
-2.968 4.227 4.864 Y
-0.775 2.677 2.178 Y
-2.100 -0.841 5.814 Y
3.650 1.389 4.864 Y
-0.093 6.165 0.949 Y
2.968 -2.099 6.093 Y
0.093 2.260 5.814 Y
0.775 -0.548 3.407 Y
2.782 1.806 1.229 Y
2.100 4.614 3.635 Y
4.975 4.907 1.229 Y
5.843 -0.161 2.178 Y
-2.069 1.463 4.508 P
3.681 -0.894 3.521 P
2.069 4.636 0.987 P
-0.806 4.960 3.521 P
4.945 2.603 2.535 P
0.806 -0.570 6.056 P
0.000 0.000 0.000 Pb

---

GdLuThSc (PBE-GGA, optimized geometry); ΔH_f (0 K) = 0.080 eV/atom
1.0
5.517 0.000 0.000
2.759 4.778 0.000
2.759 1.593 4.505
Sc Lu Gd Th
1 1 1 1
Cartesian
8.276 4.778 3.379 Sc
2.759 1.593 1.126 Lu
0.000 0.000 0.000 Gd
5.517 3.185 2.252 Th

---

Mn2CuHg (PBE-GGA, optimized geometry); ΔH_f (0 K) = 0.308 eV/atom
1.0
4.816 -0.029 0.000
1.546 4.561 0.000
-3.181 -2.266 2.818
Mn Hg Cu
2 1 1
Cartesian
3.181 2.266 0.000 Mn
0.000 0.000 0.000 Mn
2.408 -0.014 1.409 Hg
0.773 2.281 1.409 Cu

---

CaSi7N10 (PBE-GGA, optimized geometry); formation energy (no corrections) = -1103 meV/atom
1.0
-3.033 -2.261 -5.724
2.894 -6.096 0.875
-6.225 -1.929 7.147
Si N Ca
14 20 2
Cartesian
-3.262 -6.298 0.272 Si
-5.823 -7.315 1.478 Si
-4.693 -4.691 2.477 Si
-3.620 -2.005 -0.732 Si
-3.446 -4.801 -2.318 Si
-1.489 -7.749 2.531 Si
-2.206 -3.728 1.383 Si
-0.835 -5.298 -0.871 Si
-7.130 -5.672 3.618 Si
-3.977 -8.775 3.674 Si
-4.619 -6.167 5.168 Si
-1.126 -0.993 -1.874 Si
-2.180 -5.047 4.007 Si
0.331 -2.815 0.251 Si
-2.202 -7.491 0.911 N
-3.955 -3.267 -1.801 N
-7.432 -3.995 3.844 N
-6.050 -5.756 2.249 N
-3.941 -5.112 3.986 N
-1.756 -3.609 3.060 N
-3.878 -7.717 5.107 N
-2.908 -2.239 0.885 N
0.087 -6.742 -0.596 N
-0.841 -4.123 0.408 N
-4.424 -5.509 6.768 N
-2.429 -4.556 -3.791 N
-1.373 -6.489 3.624 N
-0.211 -1.416 -0.539 N
-0.110 -4.455 -2.193 N
-3.443 -4.953 1.313 N
-5.235 -3.052 2.309 N
-2.488 -5.740 -1.188 N
-5.035 -8.512 2.388 N
-4.826 -7.028 -0.001 N
-6.628 -3.305 -0.754 Ca
-0.660 -8.355 -3.464 Ca

---

no.,DFT total energy (eV/atom),DOS at the Fermi energy (states/eV per cell),theoretical density (g/cm3)
1,-4.409,2.87,8.89
2,-3.951,0.00,4.62
3,-3.503,2.58,10.68
4,-3.024,1.69,5.58
5,-6.823,20.08,4.91
6,-8.008,6.45,8.52
7,-5.377,3.20,10.01
8,-7.949,0.00,2.87